HfHgPt2: relaxed, GGA-PBE.

Cell: 6.5764 6.5764 6.5764 Å, 90.00 90.00 90.00°
Last column: nearest neighbours and their distance in Å.
Space group F-43m (No. 216)
Unique sites:
Hf (0.0000, 0.0000, 0.0000) [4 per cell]  4 Hg 2.85, 4 Pt 2.85
Hg (0.2500, 0.2500, 0.2500) [4 per cell]  4 Hf 2.85, 4 Pt 2.85
Pt (0.0000, 0.0000, 0.5000) [4 per cell]  4 Hg 2.85, 4 Pt 2.85
Pt (0.2500, 0.2500, 0.7500) [4 per cell]  4 Hf 2.85, 4 Pt 2.85

Magnetic moment   0.00 μB/atom
ΔH_f (0 K)   -437 meV/atom
Crystal system   cubic
DFT total energy   -6.029 eV per atom


MgInCoAg: relaxed, GGA-PBE.

Cell: 6.4591 6.4591 6.4591 Å, 90.00 90.00 90.00°
Last column: nearest neighbours and their distance in Å.
Space group F-43m (No. 216)
Unique sites:
Mg (0.0000, 0.0000, 0.0000) [4 per cell]  4 Co 2.80, 4 Ag 2.80
In (0.0000, 0.0000, 0.5000) [4 per cell]  4 Co 2.80, 4 Ag 2.80
Co (0.2500, 0.2500, 0.7500) [4 per cell]  4 In 2.80, 4 Mg 2.80
Ag (0.2500, 0.2500, 0.2500) [4 per cell]  4 In 2.80, 4 Mg 2.80

Magnetic moment   0.01 μB/atom
Crystal system   cubic
DFT total energy   -3.511 eV per atom


LiTbHg: relaxed, GGA-PBE.

Cell: 6.8896 6.8896 6.8896 Å, 90.00 90.00 90.00°
Last column: nearest neighbours and their distance in Å.
Space group F-43m (No. 216)
Unique sites:
Li (0.0000, 0.0000, 0.0000) [4 per cell]  4 Hg 2.98
Tb (0.0000, 0.0000, 0.5000) [4 per cell]  4 Hg 2.98
Hg (0.2500, 0.2500, 0.2500) [4 per cell]  4 Tb 2.98, 4 Li 2.98

Magnetic moment   0.17 μB/atom
Crystal system   cubic
DFT total energy   -2.380 eV per atom


NdY2Cd3AgHg2: relaxed, GGA-PBE.

Cell: 4.1085 13.7040 7.8658 Å, 90.00 90.00 90.00°
Last column: nearest neighbours and their distance in Å.
Space group Amm2 (No. 38)
Unique sites:
Nd (0.0000, 0.0000, 0.0000) [2 per cell]  4 Hg 3.19, 1 Ag 3.23, 6 Cd 3.37-3.48
Y (0.0000, 0.2029, 0.6096) [4 per cell]  4 Hg 3.13-3.14, 1 Ag 3.19, 6 Cd 3.40-3.48
Cd (0.5000, 0.0000, 0.6600) [2 per cell]  2 Ag 2.84, 2 Hg 3.03
Cd (0.5000, 0.1261, 0.2816) [4 per cell]  2 Ag 2.87, 2 Hg 2.96-3.01
Ag (0.0000, 0.0000, 0.4107) [2 per cell]  6 Cd 2.84-2.87
Hg (0.5000, 0.1698, 0.9062) [4 per cell]  3 Cd 2.96-3.03, 4 Y 3.13-3.14, 2 Nd 3.19

Magnetic moment   0.00 μB/atom
ΔH_f (0 K)   -411 meV/atom
Crystal system   orthorhombic
DFT total energy   -3.055 eV per atom


NaTbPbS3: relaxed, GGA-PBE.

Cell: 4.0508 15.3722 11.0650 Å, 90.00 90.00 90.00°
Last column: nearest neighbours and their distance in Å.
Space group Cmcm (No. 63)
Unique sites:
Na (0.0000, 0.1136, 0.2500) [4 per cell]  4 S 2.66-2.94
Tb (0.0000, 0.5000, 0.0000) [4 per cell]  6 S 2.75-2.79
Pb (0.0000, 0.1485, 0.7500) [4 per cell]  4 S 2.77-2.90
S (0.0000, 0.1208, 0.0096) [8 per cell]  1 Na 2.66, 2 Tb 2.75, 1 Pb 2.90
S (0.0000, 0.4746, 0.2500) [4 per cell]  2 Pb 2.77, 2 Tb 2.79, 2 Na 2.94

Magnetic moment   0.00 μB/atom
Crystal system   orthorhombic
DFT total energy   -4.896 eV per atom


KDyTc: relaxed, GGA-PBE.

Cell: 7.0726 7.0726 7.0726 Å, 90.00 90.00 90.00°
Last column: nearest neighbours and their distance in Å.
Space group F-43m (No. 216)
Unique sites:
K (0.0000, 0.0000, 0.0000) [4 per cell]  4 Dy 3.06, 4 Tc 3.06
Dy (0.2500, 0.2500, 0.7500) [4 per cell]  4 K 3.06
Tc (0.2500, 0.2500, 0.2500) [4 per cell]  4 K 3.06

Magnetic moment   0.80 μB/atom
Crystal system   cubic
DFT total energy   -3.442 eV per atom